## PmDy3Rh4 (GGA-PBE)

Data for crystalline PmDy3Rh4 at its relaxed geometry.

## Properties
Calculated volume   20.504 Å³/atom
DOS(E_F)   9.85 states/eV/cell
Space group   P4/mmm
ΔH_f (0 K)   -0.82 eV/atom
Crystal system   tetragonal

Geometry as POSCAR:
```
PmDy3Rh4
1.0
-2.848 -1.273 -3.791
5.388 -2.742 -3.127
-1.885 -8.619 4.309
Dy Rh Pm
6 8 2
Direct
0.000 0.000 0.000
0.000 0.000 0.500
0.500 0.000 0.750
0.500 0.000 0.250
0.500 0.500 0.750
0.500 0.500 0.250
0.500 0.754 0.000
0.500 0.754 0.500
0.500 0.246 0.000
0.500 0.246 0.500
0.000 0.754 0.750
0.000 0.754 0.250
0.000 0.246 0.250
0.000 0.246 0.750
0.000 0.500 0.000
0.000 0.500 0.500
```

***

## LaPaSn6 (GGA-PBE)

Data for crystalline LaPaSn6 at its relaxed geometry.

## Properties
Calculated volume   26.343 Å³/atom
DOS(E_F)   7.00 states/eV/cell
Space group   P4/mmm
ΔH_f (0 K)   -0.43 eV/atom
Crystal system   tetragonal

Geometry as POSCAR:
```
LaPaSn6
1.0
4.717 0.000 0.000
0.000 4.717 0.000
0.000 0.000 9.471
La Pa Sn
1 1 6
Direct
0.000 0.000 0.000
0.000 0.000 0.500
0.500 0.500 0.000
0.500 0.500 0.500
0.500 0.000 0.257
0.500 0.000 0.743
0.000 0.500 0.257
0.000 0.500 0.743
```

***

## ErSc2Se (GGA-PBE)

Data for crystalline ErSc2Se at its relaxed geometry.

## Properties
Uncorrected formation energy   -0.8003 eV per atom
Calculated volume   22.837 Å³/atom
DOS(E_F)   10.46 states/eV/cell
Energy above the most stable polymorph in this dataset   0.0 meV per atom
Space group   Cmcm
Crystal system   orthorhombic

Geometry as POSCAR:
```
ErSc2Se
1.0
3.721 0.000 0.000
-1.861 5.585 0.000
0.000 0.000 8.791
Er Sc Se
2 4 2
Direct
0.942 0.884 0.250
0.058 0.116 0.750
0.360 0.720 0.544
0.640 0.280 0.456
0.360 0.720 0.956
0.640 0.280 0.044
0.765 0.530 0.750
0.235 0.470 0.250
```

***

## HfMg2Pd9 (GGA-PBE)

Data for crystalline HfMg2Pd9 at its relaxed geometry.

## Properties
Calculated volume   15.842 Å³/atom
DOS(E_F)   13.63 states/eV/cell
Space group   P4/mmm
ΔH_f (0 K)   -0.61 eV/atom
Crystal system   tetragonal

Geometry as POSCAR:
```
HfMg2Pd9
1.0
-0.623 1.385 -3.694
3.185 -2.031 -1.299
-6.946 -9.391 -2.351
Hf Mg Pd
1 2 9
Direct
0.000 0.000 0.000
0.000 0.000 0.337
0.000 0.000 0.663
0.500 0.500 0.000
0.500 0.500 0.333
0.500 0.500 0.667
0.500 0.000 0.166
0.500 0.000 0.500
0.500 0.000 0.834
0.000 0.500 0.166
0.000 0.500 0.500
0.000 0.500 0.834
```

***

## Cs2PaSnTe5 (GGA-PBE)

Data for crystalline Cs2PaSnTe5 at its relaxed geometry.

## Properties
Uncorrected formation energy   -0.7528 eV per atom
Calculated volume   46.983 Å³/atom
DOS(E_F)   7.35 states/eV/cell
Space group   Cmc2_1
Crystal system   orthorhombic

Geometry as POSCAR:
```
Cs2PaSnTe5
1.0
-2.611 2.224 -3.379
3.933 -9.056 -5.568
-12.780 -8.275 4.430
Cs Pa Sn Te
4 2 2 10
Direct
0.874 0.748 0.824
0.125 0.250 0.688
0.126 0.252 0.324
0.875 0.750 0.188
0.799 0.598 0.525
0.201 0.402 0.025
0.560 0.120 0.930
0.440 0.880 0.430
0.329 0.658 0.006
0.690 0.381 0.896
0.504 0.008 0.776
0.303 0.607 0.643
0.939 0.879 0.536
0.671 0.342 0.506
0.310 0.619 0.396
0.496 0.992 0.276
0.697 0.393 0.143
0.061 0.121 0.036
```

***

## TaWAu2 (GGA-PBE)

Data for crystalline TaWAu2 at its relaxed geometry.

## Properties
Calculated volume   17.153 Å³/atom
DOS(E_F)   3.62 states/eV/cell
Energy above the most stable polymorph in this dataset   157.0 meV per atom
Space group   Cmmm
ΔH_f (0 K)   0.23 eV/atom
Crystal system   orthorhombic

Geometry as POSCAR:
```
TaWAu2
1.0
5.135 -0.018 -0.022
-2.051 4.707 -0.022
0.012 0.018 2.843
Au Ta W
2 1 1
Direct
0.000 0.000 0.000
0.500 0.500 0.000
0.500 0.000 0.500
0.000 0.500 0.500
```

***

## ScAlI3 (GGA-PBE)

Data for crystalline ScAlI3 at its relaxed geometry.

## Properties
Uncorrected formation energy   -0.4194 eV per atom
Calculated volume   38.651 Å³/atom
DOS(E_F)   3.79 states/eV/cell
Space group   Pm-3m
Crystal system   cubic

Geometry as POSCAR:
```
ScAlI3
1.0
-1.162 -3.774 4.223
5.038 -2.658 -0.989
2.587 3.481 3.823
I Sc Al
3 1 1
Direct
0.000 0.500 0.000
0.000 0.000 0.500
0.500 0.000 0.000
0.000 0.000 0.000
0.500 0.500 0.500
```

***

## SrPaS4 (GGA-PBE)

Data for crystalline SrPaS4 at its relaxed geometry.

## Properties
Uncorrected formation energy   -1.4090 eV per atom
Calculated volume   24.989 Å³/atom
DOS(E_F)   2.18 states/eV/cell
Energy above the most stable polymorph in this dataset   0.0 meV per atom
Space group   Cmmm
Crystal system   orthorhombic

Geometry as POSCAR:
```
SrPaS4
1.0
-0.993 3.262 -5.551
1.260 -5.053 -3.195
-7.283 -1.924 0.171
Sr Pa S
2 2 8
Direct
0.000 0.000 0.500
0.500 0.500 0.500
0.500 0.500 0.000
0.000 0.000 0.000
0.250 0.750 0.783
0.750 0.750 0.783
0.750 0.250 0.783
0.750 0.750 0.217
0.250 0.250 0.783
0.250 0.750 0.217
0.250 0.250 0.217
0.750 0.250 0.217
```

***

The highest calculated volume belongs to which entry?
Cs2PaSnTe5

***

What did the seventh record say?
## ScAlI3 (GGA-PBE)

Data for crystalline ScAlI3 at its relaxed geometry.

## Properties
Uncorrected formation energy   -0.4194 eV per atom
Calculated volume   38.651 Å³/atom
DOS(E_F)   3.79 states/eV/cell
Space group   Pm-3m
Crystal system   cubic

Geometry as POSCAR:
```
ScAlI3
1.0
-1.162 -3.774 4.223
5.038 -2.658 -0.989
2.587 3.481 3.823
I Sc Al
3 1 1
Direct
0.000 0.500 0.000
0.000 0.000 0.500
0.500 0.000 0.000
0.000 0.000 0.000
0.500 0.500 0.500
```

***

Among the records above, which one has the highest DOS(E_F)?
HfMg2Pd9

***

Look up the DOS(E_F) of the second one.
7.00 states/eV/cell